Entry 1:
This record from Alexandria describes a crystal of BeIn2B relaxed with PBEsol. The functional is SCAN.

```
data_BeIn2B
_cell_length_a 4.513
_cell_length_b 4.513
_cell_length_c 4.513
_cell_angle_alpha 60.00
_cell_angle_beta 60.00
_cell_angle_gamma 60.00
_space_group_name_H-M_alt 'P 1'
_space_group_IT_number 1
_space_group_name_Hall 'P 1'
loop_
_atom_site_label
_atom_site_type_symbol
_atom_site_fract_x
_atom_site_fract_y
_atom_site_fract_z
In1 In 0.750 0.750 0.750
In2 In 0.250 0.250 0.250
Be1 Be 0.000 0.000 0.000
B1 B 0.500 0.500 0.500
```

The calculation puts the magnetic moment at 0.0 Bohr magnetons per cell. The calculation puts the density of states at the Fermi level at 1.44 states/eV/f.u. For the formation energy, the calculation gives 1.10 eV/atom.

Entry 2:
This record from Alexandria describes a crystal of Sc2BeBIr relaxed with PBEsol. The functional is SCAN.

```
data_Sc2BeBIr
_cell_length_a 4.126
_cell_length_b 4.882
_cell_length_c 4.882
_cell_angle_alpha 90.00
_cell_angle_beta 90.00
_cell_angle_gamma 90.00
_space_group_name_H-M_alt 'P 1'
_space_group_IT_number 1
_space_group_name_Hall 'P 1'
loop_
_atom_site_label
_atom_site_type_symbol
_atom_site_fract_x
_atom_site_fract_y
_atom_site_fract_z
Ir1 Ir 0.000 0.000 0.000
Sc1 Sc 0.000 0.000 0.500
Sc2 Sc 0.000 0.500 0.000
Be1 Be 0.500 0.000 0.000
B1 B 0.500 0.500 0.500
```

The calculation puts the magnetic moment at 0.0 Bohr magnetons per cell. The calculation puts the density of states at the Fermi level at 3.74 states/eV/f.u. For the formation energy, the calculation gives 0.47 eV/atom.

Entry 3:
This record from Alexandria describes a crystal of Sc2BeB2Ir5 relaxed with PBEsol. The functional is SCAN.

```
data_Sc2BeB2Ir5
_cell_length_a 2.944
_cell_length_b 9.227
_cell_length_c 9.227
_cell_angle_alpha 90.00
_cell_angle_beta 90.00
_cell_angle_gamma 90.00
_space_group_name_H-M_alt 'P 1'
_space_group_IT_number 1
_space_group_name_Hall 'P 1'
loop_
_atom_site_label
_atom_site_type_symbol
_atom_site_fract_x
_atom_site_fract_y
_atom_site_fract_z
Sc1 Sc 0.000 0.177 0.323
Sc2 Sc 0.000 0.823 0.677
Sc3 Sc 0.000 0.323 0.823
Sc4 Sc 0.000 0.677 0.177
Be1 Be 0.000 0.500 0.500
Be2 Be 0.000 0.000 0.000
B1 B 0.000 0.872 0.372
B2 B 0.000 0.628 0.872
B3 B 0.000 0.128 0.628
B4 B 0.000 0.372 0.128
Ir1 Ir 0.500 0.067 0.791
Ir2 Ir 0.500 0.433 0.291
Ir3 Ir 0.500 0.500 0.000
Ir4 Ir 0.500 0.709 0.433
Ir5 Ir 0.500 0.291 0.567
Ir6 Ir 0.500 0.791 0.933
Ir7 Ir 0.500 0.933 0.209
Ir8 Ir 0.500 0.567 0.709
Ir9 Ir 0.500 0.000 0.500
Ir10 Ir 0.500 0.209 0.067
```

The calculation puts the magnetic moment at 0.0 Bohr magnetons per cell. The calculation puts the density of states at the Fermi level at 3.13 states/eV/f.u. For the formation energy, the calculation gives -0.99 eV/atom.

Entry 4:
This record from Alexandria describes a crystal of BeBTe2Ir relaxed with PBEsol. The functional is SCAN.

```
data_BeBTe2Ir
_cell_length_a 4.040
_cell_length_b 4.865
_cell_length_c 4.865
_cell_angle_alpha 90.00
_cell_angle_beta 90.00
_cell_angle_gamma 90.00
_space_group_name_H-M_alt 'P 1'
_space_group_IT_number 1
_space_group_name_Hall 'P 1'
loop_
_atom_site_label
_atom_site_type_symbol
_atom_site_fract_x
_atom_site_fract_y
_atom_site_fract_z
Te1 Te 0.000 0.000 0.500
Te2 Te 0.000 0.500 0.000
Ir1 Ir 0.500 0.000 0.000
Be1 Be 0.000 0.000 0.000
B1 B 0.500 0.500 0.500
```

The calculation puts the magnetic moment at 0.0 Bohr magnetons per cell. The calculation puts the formation energy without anion corrections at 1405.8 meV per atom. The calculation puts the density of states at the Fermi level at 1.81 states/eV/f.u.

Entry 5:
This record from Alexandria describes a crystal of Ti2BeBIr relaxed with PBEsol. The functional is SCAN.

```
data_Ti2BeBIr
_cell_length_a 3.956
_cell_length_b 4.153
_cell_length_c 4.153
_cell_angle_alpha 90.00
_cell_angle_beta 90.00
_cell_angle_gamma 90.00
_space_group_name_H-M_alt 'P 1'
_space_group_IT_number 1
_space_group_name_Hall 'P 1'
loop_
_atom_site_label
_atom_site_type_symbol
_atom_site_fract_x
_atom_site_fract_y
_atom_site_fract_z
B1 B 0.000 0.000 0.000
Ir1 Ir 0.500 0.000 0.000
Ti1 Ti 0.000 0.000 0.500
Ti2 Ti 0.000 0.500 0.000
Be1 Be 0.500 0.500 0.500
```

The calculation puts the magnetic moment at 0.0 Bohr magnetons per cell. The calculation puts the density of states at the Fermi level at 2.46 states/eV/f.u. For the formation energy, the calculation gives -0.27 eV/atom.

Entry 6:
This record from Alexandria describes a crystal of KBe2B3O7 relaxed with PBEsol. The functional is SCAN.

```
data_KBe2B3O7
_cell_length_a 7.494
_cell_length_b 9.389
_cell_length_c 13.309
_cell_angle_alpha 90.00
_cell_angle_beta 90.00
_cell_angle_gamma 111.82
_space_group_name_H-M_alt 'P 1'
_space_group_IT_number 1
_space_group_name_Hall 'P 1'
loop_
_atom_site_label
_atom_site_type_symbol
_atom_site_fract_x
_atom_site_fract_y
_atom_site_fract_z
O1 O 0.443 0.216 0.232
O2 O 0.090 0.496 0.175
O3 O 0.889 0.243 0.059
O4 O 0.400 0.484 0.512
O5 O 0.932 0.211 0.233
O6 O 0.234 0.993 0.146
O7 O 0.729 0.991 0.321
O8 O 0.227 0.454 0.332
O9 O 0.920 0.527 0.012
O10 O 0.276 0.000 0.639
O11 O 0.396 0.480 0.177
O12 O 0.772 0.547 0.499
O13 O 0.605 0.538 0.346
O14 O 0.400 0.239 0.725
O15 O 0.600 0.516 0.012
O16 O 0.891 0.232 0.407
O17 O 0.773 0.546 0.832
O18 O 0.779 0.569 0.166
O19 O 0.354 0.233 0.060
O20 O 0.600 0.761 0.225
O21 O 0.913 0.516 0.345
O22 O 0.752 0.000 0.827
O23 O 0.271 0.009 0.821
O24 O 0.111 0.757 0.559
O25 O 0.604 0.520 0.677
O26 O 0.228 0.453 0.999
O27 O 0.395 0.462 0.846
O28 O 0.766 0.007 0.646
O29 O 0.724 0.000 0.139
O30 O 0.248 0.000 0.327
O31 O 0.068 0.789 0.733
O32 O 0.625 0.754 0.904
O33 O 0.109 0.768 0.907
O34 O 0.087 0.484 0.845
O35 O 0.221 0.431 0.666
O36 O 0.375 0.246 0.404
O37 O 0.557 0.784 0.732
O38 O 0.646 0.767 0.560
O39 O 0.080 0.473 0.512
O40 O 0.884 0.238 0.742
O41 O 0.116 0.762 0.242
O42 O 0.910 0.504 0.675
B1 B 0.766 0.528 0.729
B2 B 0.359 0.158 0.323
B3 B 0.848 0.148 0.323
B4 B 0.686 0.912 0.229
B5 B 0.767 0.540 0.065
B6 B 0.152 0.852 0.823
B7 B 0.233 0.460 0.565
B8 B 0.765 0.535 0.396
B9 B 0.641 0.842 0.823
B10 B 0.846 0.156 0.141
B11 B 0.194 0.912 0.238
B12 B 0.806 0.088 0.738
B13 B 0.235 0.465 0.896
B14 B 0.314 0.088 0.729
B15 B 0.234 0.472 0.229
B16 B 0.347 0.152 0.144
B17 B 0.154 0.844 0.641
B18 B 0.653 0.848 0.644
Be1 Be 0.025 0.414 0.396
Be2 Be 0.029 0.423 0.063
Be3 Be 0.401 0.424 0.396
Be4 Be 0.600 0.589 0.228
Be5 Be 0.974 0.589 0.231
Be6 Be 0.400 0.411 0.728
Be7 Be 0.971 0.577 0.563
Be8 Be 0.599 0.576 0.896
Be9 Be 0.394 0.415 0.063
Be10 Be 0.975 0.586 0.896
Be11 Be 0.606 0.585 0.563
Be12 Be 0.026 0.411 0.731
K1 K 0.621 0.236 0.911
K2 K 0.631 0.235 0.559
K3 K 0.379 0.764 0.411
K4 K 0.000 0.996 0.483
K5 K 0.000 0.004 0.983
K6 K 0.369 0.765 0.059
```

The calculation puts the magnetic moment at 0.0 Bohr magnetons per cell. The calculation puts the formation energy without anion corrections at -2736.3 meV per atom. For the polymorph energy (0 for the lowest one), the calculation gives 0.7 kJ/mol of atoms. The calculation puts the density of states at the Fermi level at 0.00 states/eV/f.u.